[1]
Computed, not measured: a relaxed structure of Cs3CoTe at the GGA-PBEsol level of DFT.

Cell lengths 7.189, 7.189, 7.189 Å; angles 90.00, 90.00, 90.00 degrees
Last column: magnetic moment on the atom in μB.
Atoms (fractional coordinates):
Cs 0.500 0.000 0.000  0.00
Cs 0.000 0.500 0.000  0.00
Cs 0.000 0.000 0.500  0.00
Te 0.000 0.000 0.000  0.00
Co 0.500 0.500 0.500  2.01

Calculated values
- Size of the total moment: 2.00 μB per cell
- Raw total energy: -0.09257 hartree per atom

[2]
Computed, not measured: a relaxed structure of Cs2YTiCo at the GGA-PBEsol level of DFT.

Cell lengths 5.369, 5.517, 5.517 Å; angles 90.00, 90.00, 90.00 degrees
Last column: magnetic moment on the atom in μB.
Atoms (fractional coordinates):
Cs 0.000 0.500 0.000  0.03
Cs 0.000 0.000 0.500  0.03
Ti 0.500 0.500 0.500  1.98
Y 0.500 0.000 0.000  0.09
Co 0.000 0.000 0.000  0.14

Calculated values
- Size of the total moment: 3.33 μB per cell
- ΔE_f: 1.351 eV per atom

[3]
Computed, not measured: a relaxed structure of Cs3CoW at the GGA-PBEsol level of DFT.

Cell lengths 5.985, 5.985, 5.985 Å; angles 90.00, 90.00, 90.00 degrees
Last column: magnetic moment on the atom in μB.
Atoms (fractional coordinates):
Co 0.000 0.000 0.000  1.25
Cs 0.000 0.500 0.000  0.01
Cs 0.000 0.000 0.500  0.01
Cs 0.500 0.000 0.000  0.01
W 0.500 0.500 0.500  3.40

Calculated values
- Size of the total moment: 6.30 μB per cell
- ΔE_f: 2.026 eV per atom

[4]
Computed, not measured: a relaxed structure of Cs2YCo at the GGA-PBEsol level of DFT.

Cell lengths 5.715, 5.715, 5.715 Å; angles 60.00, 60.00, 60.00 degrees
Last column: magnetic moment on the atom in μB.
Atoms (fractional coordinates):
Y 0.500 0.500 0.500  -0.66
Cs 0.250 0.250 0.250  -0.06
Cs 0.750 0.750 0.750  -0.06
Co 0.000 0.000 0.000  1.64

Calculated values
- Size of the total moment: 0.04 μB per cell
- ΔE_f: 1.455 eV per atom

[5]
Computed, not measured: a relaxed structure of CoCu at the GGA-PBEsol level of DFT.

Cell lengths 3.919, 3.919, 4.639 Å; angles 90.00, 90.00, 120.00 degrees
Last column: magnetic moment on the atom in μB.
Atoms (fractional coordinates):
Cu 0.333 0.667 0.250  0.19
Cu 0.667 0.333 0.750  0.19
Co 0.333 0.667 0.750  1.75
Co 0.667 0.333 0.250  1.75

Calculated values
- Size of the total moment: 3.74 μB per cell
- ΔE_f: 1.319 eV per atom

[6]
Computed, not measured: a relaxed structure of Co2Cu at the GGA-PBEsol level of DFT.

Cell lengths 2.484, 2.484, 5.471 Å; angles 103.12, 103.12, 90.00 degrees
Last column: magnetic moment on the atom in μB.
Atoms (fractional coordinates):
Co 0.673 0.673 0.347  1.49
Co 0.327 0.327 0.653  1.49
Cu 0.000 0.000 0.000  0.07

Calculated values
- Size of the total moment: 3.00 μB per cell
- ΔE_f: 0.115 eV per atom

[7]
Computed, not measured: a relaxed structure of CoCu7 at the GGA-PBEsol level of DFT.

Cell lengths 5.011, 5.011, 5.011 Å; angles 60.00, 60.00, 60.00 degrees
Last column: magnetic moment on the atom in μB.
Atoms (fractional coordinates):
Cu 0.500 0.000 0.000  0.01
Cu 0.500 0.500 0.000  0.01
Cu 0.500 0.000 0.500  0.01
Cu 0.000 0.500 0.500  0.01
Cu 0.000 0.000 0.500  0.01
Cu 0.000 0.500 0.000  0.01
Cu 0.500 0.500 0.500  -0.01
Co 0.000 0.000 0.000  0.90

Calculated values
- Size of the total moment: 0.84 μB per cell
- ΔE_f: 0.088 eV per atom

[8]
Computed, not measured: a relaxed structure of CoCu at the GGA-PBEsol level of DFT.

Cell lengths 3.950, 3.950, 3.950 Å; angles 60.00, 60.00, 60.00 degrees
Last column: magnetic moment on the atom in μB.
Atoms (fractional coordinates):
Cu 0.750 0.750 0.750  0.03
Cu 0.500 0.500 0.500  0.03
Co 0.250 0.250 0.250  1.60
Co 0.000 0.000 0.000  1.60

Calculated values
- Size of the total moment: 3.18 μB per cell
- ΔE_f: 0.204 eV per atom

[9]
Computed, not measured: a relaxed structure of CoCu at the GGA-PBEsol level of DFT.

Cell lengths 2.486, 2.486, 6.992 Å; angles 90.00, 90.00, 90.00 degrees
Last column: magnetic moment on the atom in μB.
Atoms (fractional coordinates):
Cu 0.000 0.500 0.370  0.03
Cu 0.500 0.000 0.630  0.03
Co 0.000 0.500 0.887  1.47
Co 0.500 0.000 0.113  1.47

Calculated values
- Size of the total moment: 2.96 μB per cell
- ΔE_f: 0.095 eV per atom

[10]
Computed, not measured: a relaxed structure of CoCu at the GGA-PBEsol level of DFT.

Cell lengths 2.475, 2.475, 8.157 Å; angles 90.00, 90.00, 120.00 degrees
Last column: magnetic moment on the atom in μB.
Atoms (fractional coordinates):
Cu 0.667 0.333 0.629  0.02
Cu 0.333 0.667 0.371  0.02
Co 0.333 0.667 0.884  1.56
Co 0.667 0.333 0.116  1.56

Calculated values
- Size of the total moment: 3.10 μB per cell
- ΔE_f: 0.060 eV per atom

[11]
Computed, not measured: a relaxed structure of Co3Cu2 at the GGA-PBEsol level of DFT.

Cell lengths 3.821, 3.821, 4.756 Å; angles 90.00, 90.00, 120.00 degrees
Last column: magnetic moment on the atom in μB.
Atoms (fractional coordinates):
Co 0.667 0.333 0.633  1.63
Co 0.333 0.667 0.367  1.63
Co 0.000 0.000 0.000  1.46
Cu 0.333 0.667 0.852  0.13
Cu 0.667 0.333 0.148  0.13

Calculated values
- Size of the total moment: 4.84 μB per cell
- ΔE_f: 0.603 eV per atom

[12]
Computed, not measured: a relaxed structure of CoCu at the GGA-PBEsol level of DFT.

Cell lengths 3.306, 3.306, 3.306 Å; angles 60.00, 60.00, 60.00 degrees
Last column: magnetic moment on the atom in μB.
Atoms (fractional coordinates):
Cu 0.500 0.500 0.500  0.14
Co 0.000 0.000 0.000  1.74

Calculated values
- Size of the total moment: 1.83 μB per cell
- ΔE_f: 0.987 eV per atom